Record 1
## Pr2AlPd4 (PBE)

Data for an optimized crystal structure of Pr2AlPd4.

Computed properties:
DFT total energy (eV/atom): -5.521
Symmetry: Fmmm (69)
Energy of formation from the pure elements (eV per atom): -0.653
M_tot (μB/cell): 0.00
ρ (Mg/m³): 7.577

abc: 6.0671 6.0671 6.1998
angles: 120.82 120.82 87.29
Closest atoms and distances in Å follow each position.
Fractional positions:
Pr: 0.2500 0.7500 0.5000  8 Pd 3.04-3.05
Pr: 0.7500 0.2500 0.5000  8 Pd 3.04-3.05
Al: 0.0000 0.0000 0.0000  4 Pd 2.45
Pd: 0.7210 0.7210 0.0000  1 Al 2.45, 2 Pd 2.73
Pd: 0.2790 0.2790 0.0000  1 Al 2.45, 2 Pd 2.73
Pd: 0.2800 0.2801 0.5602  1 Al 2.45, 2 Pd 2.73
Pd: 0.7199 0.7200 0.4398  1 Al 2.45, 2 Pd 2.73

---

Record 2
## Pr2AlPd4 (PBE)

Data for an optimized crystal structure of Pr2AlPd4.

Computed properties:
DFT total energy (eV/atom): -5.387
Symmetry: Fmmm (69)
Energy of formation from the pure elements (eV per atom): -0.520
M_tot (μB/cell): 0.00
ρ (Mg/m³): 7.453

abc: 4.6815 4.6815 8.3761
angles: 109.04 109.04 80.35
Closest atoms and distances in Å follow each position.
Fractional positions:
Pr: 0.6446 0.6446 0.2892  7 Pd 2.96-3.21
Pr: 0.3554 0.3554 0.7108  7 Pd 2.96-3.21
Al: 0.0000 0.0000 0.0000  6 Pd 2.34-2.42
Pd: 0.8400 0.8400 0.6801  1 Al 2.42
Pd: 0.1600 0.1600 0.3199  1 Al 2.42
Pd: 0.0000 0.5000 0.0000  2 Al 2.34
Pd: 0.5000 0.0000 0.0000  2 Al 2.34

---

Record 3
## PrAl2Pd9 (PBE)

Data for an optimized crystal structure of PrAl2Pd9.

Computed properties:
DFT total energy (eV/atom): -5.549
Symmetry: P4/mmm (123)
Energy of formation from the pure elements (eV per atom): -0.632
M_tot (μB/cell): 0.00
ρ (Mg/m³): 9.823

abc: 4.0689 4.0689 11.7696
angles: 90.00 90.00 90.00
Closest atoms and distances in Å follow each position.
Fractional positions:
Pr: 0.0000 0.0000 0.0000  12 Pd 2.88-3.02
Al: 0.0000 0.0000 0.3456  12 Pd 2.73-2.88
Al: 0.0000 0.0000 0.6544  12 Pd 2.73-2.88
Pd: 0.5000 0.5000 0.0000  4 Pr 2.88, 8 Pd 3.02
Pd: 0.5000 0.5000 0.3428  8 Pd 2.72-2.75, 4 Al 2.88
Pd: 0.5000 0.5000 0.6572  8 Pd 2.72-2.75, 4 Al 2.88
Pd: 0.5000 0.0000 0.1892  8 Pd 2.72-3.02, 2 Al 2.74, 2 Pr 3.02
Pd: 0.5000 0.0000 0.5000  4 Al 2.73, 8 Pd 2.75-2.88
Pd: 0.5000 0.0000 0.8108  8 Pd 2.72-3.02, 2 Al 2.74, 2 Pr 3.02
Pd: 0.0000 0.5000 0.1892  8 Pd 2.72-3.02, 2 Al 2.74, 2 Pr 3.02
Pd: 0.0000 0.5000 0.5000  4 Al 2.73, 8 Pd 2.75-2.88
Pd: 0.0000 0.5000 0.8108  8 Pd 2.72-3.02, 2 Al 2.74, 2 Pr 3.02

---

Record 4
## PrAl4Pd12 (PBE)

Data for an optimized crystal structure of PrAl4Pd12.

Computed properties:
DFT total energy (eV/atom): -5.170
Symmetry: Im-3 (204)
Energy of formation from the pure elements (eV per atom): -0.343
M_tot (μB/cell): 0.00
ρ (Mg/m³): 8.226

abc: 7.3690 7.3690 7.3690
angles: 109.47 109.47 109.47
Closest atoms and distances in Å follow each position.
Fractional positions:
Pr: 0.0000 0.0000 0.0000  12 Pd 3.22
Al: 0.0000 0.5000 0.0000  6 Pd 2.40
Al: 0.5000 0.0000 0.0000  6 Pd 2.40
Al: 0.5000 0.5000 0.5000  6 Pd 2.40
Al: 0.0000 0.0000 0.5000  6 Pd 2.40
Pd: 0.8405 0.3429 0.1834  2 Al 2.40, 1 Pd 2.67
Pd: 0.3429 0.5023 0.1595  2 Al 2.40, 1 Pd 2.67
Pd: 0.8166 0.1595 0.6571  2 Al 2.40, 1 Pd 2.67
Pd: 0.3429 0.1834 0.8405  2 Al 2.40, 1 Pd 2.67
Pd: 0.1834 0.8405 0.3429  2 Al 2.40, 1 Pd 2.67
Pd: 0.6571 0.4977 0.8405  2 Al 2.40, 1 Pd 2.67
Pd: 0.5023 0.1595 0.3429  2 Al 2.40, 1 Pd 2.67
Pd: 0.4977 0.8405 0.6571  2 Al 2.40, 1 Pd 2.67
Pd: 0.6571 0.8166 0.1595  2 Al 2.40, 1 Pd 2.67
Pd: 0.8405 0.6571 0.4977  2 Al 2.40, 1 Pd 2.67
Pd: 0.1595 0.3429 0.5023  2 Al 2.40, 1 Pd 2.67
Pd: 0.1595 0.6571 0.8166  2 Al 2.40, 1 Pd 2.67

---

Record 5
## Pr2Al6Pd (PBE)

Data for an optimized crystal structure of Pr2Al6Pd.

Computed properties:
DFT total energy (eV/atom): -4.662
Symmetry: P-3m1 (164)
Energy of formation from the pure elements (eV per atom): -0.528
M_tot (μB/cell): 0.00
ρ (Mg/m³): 4.981

abc: 5.9103 5.9860 5.9860
angles: 60.00 90.01 90.01
Closest atoms and distances in Å follow each position.
Fractional positions:
Pr: 0.8527 0.6667 0.6667  9 Al 3.17-3.24
Pr: 0.1473 0.3333 0.3333  9 Al 3.17-3.24
Al: 0.3220 0.3450 0.8275  1 Pd 2.61, 4 Al 2.76-2.89
Al: 0.3219 0.8276 0.8276  1 Pd 2.61, 4 Al 2.76-2.89
Al: 0.3220 0.8275 0.3450  1 Pd 2.61, 4 Al 2.76-2.89
Al: 0.6780 0.6550 0.1725  1 Pd 2.61, 4 Al 2.76-2.89
Al: 0.6781 0.1724 0.1724  1 Pd 2.61, 4 Al 2.76-2.89
Al: 0.6780 0.1725 0.6550  1 Pd 2.61, 4 Al 2.76-2.89
Pd: 0.0000 0.0000 0.0000  6 Al 2.61

---

Record 6
## Pr2Al3Pd5 (PBE)

Data for an optimized crystal structure of Pr2Al3Pd5.

Computed properties:
DFT total energy (eV/atom): -5.500
Symmetry: Ibam (72)
Energy of formation from the pure elements (eV per atom): -0.825
M_tot (μB/cell): 0.00
ρ (Mg/m³): 7.651

abc: 5.9411 8.6398 8.6398
angles: 77.26 69.89 69.89
Closest atoms and distances in Å follow each position.
Fractional positions:
Pr: 0.1381 0.5886 0.1351  8 Pd 3.02-3.36, 3 Al 3.28
Pr: 0.6381 0.1351 0.5886  8 Pd 3.02-3.36, 3 Al 3.28
Pr: 0.8619 0.4114 0.8649  8 Pd 3.02-3.36, 3 Al 3.28
Pr: 0.3619 0.8649 0.4114  8 Pd 3.02-3.36, 3 Al 3.28
Al: 0.3593 0.5426 0.7388  5 Pd 2.50-2.53
Al: 0.8593 0.7388 0.5426  5 Pd 2.50-2.53
Al: 0.6407 0.4574 0.2612  5 Pd 2.50-2.53
Al: 0.1407 0.2612 0.4574  5 Pd 2.50-2.53
Al: 0.2500 0.0000 0.0000  6 Pd 2.63-2.65
Al: 0.7500 0.0000 0.0000  6 Pd 2.63-2.65
Pd: 0.4058 0.2674 0.9210  3 Al 2.53-2.65, 2 Pd 2.81
Pd: 0.9058 0.9210 0.2674  3 Al 2.53-2.65, 2 Pd 2.81
Pd: 0.5942 0.7326 0.0790  3 Al 2.53-2.65, 2 Pd 2.81
Pd: 0.0942 0.0790 0.7326  3 Al 2.53-2.65, 2 Pd 2.81
Pd: 0.4672 0.7829 0.7829  3 Al 2.51-2.63
Pd: 0.5329 0.2172 0.2172  3 Al 2.51-2.63
Pd: 0.7500 0.5000 0.5000  4 Al 2.50
Pd: 0.2500 0.5000 0.5000  4 Al 2.50
Pd: 0.0328 0.2172 0.2172  3 Al 2.51-2.63
Pd: 0.9672 0.7829 0.7829  3 Al 2.51-2.63

---

Record 7
## Pr3AlPd (PBE)

Data for an optimized crystal structure of Pr3AlPd.

Computed properties:
DFT total energy (eV/atom): -4.989
Symmetry: C2/m (12)
Energy of formation from the pure elements (eV per atom): -0.334
M_tot (μB/cell): 0.00
ρ (Mg/m³): 6.366

abc: 6.9235 6.9235 7.5750
angles: 110.54 112.49 101.39
Closest atoms and distances in Å follow each position.
Fractional positions:
Pr: 0.8262 0.0300 0.2526  1 Pd 2.86
Pr: 0.2226 0.4264 0.2526  1 Pd 2.86
Pr: 0.7774 0.5736 0.7474  1 Pd 2.86
Pr: 0.7055 0.4665 0.1720  1 Pd 2.99, 1 Al 3.19, 1 Pr 3.29
Pr: 0.1738 0.9700 0.7474  1 Pd 2.86
Pr: 0.2945 0.5335 0.8280  1 Pd 2.99, 1 Al 3.19, 1 Pr 3.29
Al: 0.7325 0.0782 0.8107  2 Pd 2.48-2.66
Al: 0.2675 0.9218 0.1893  2 Pd 2.48-2.66
Pd: 0.5969 0.8272 0.4241  2 Al 2.48-2.66
Pd: 0.4031 0.1728 0.5759  2 Al 2.48-2.66

---

Record 8
## Pr3Al6Pd5 (PBE)

Data for an optimized crystal structure of Pr3Al6Pd5.

Computed properties:
DFT total energy (eV/atom): -5.284
Symmetry: Pmmn (59)
Energy of formation from the pure elements (eV per atom): -0.802
M_tot (μB/cell): 0.00
ρ (Mg/m³): 6.826

abc: 4.3627 9.5202 13.0822
angles: 90.00 90.00 90.00
Closest atoms and distances in Å follow each position.
Fractional positions:
Pr: 0.0000 0.2466 0.6964  8 Al 3.09-3.26, 6 Pd 3.10-3.40
Pr: 0.5000 0.7534 0.1964  8 Al 3.09-3.26, 6 Pd 3.10-3.40
Pr: 0.5000 0.7534 0.8036  8 Al 3.09-3.26, 6 Pd 3.10-3.40
Pr: 0.0000 0.2586 0.0000  6 Pd 3.04-3.25, 2 Al 3.29
Pr: 0.5000 0.7414 0.5000  6 Pd 3.04-3.25, 2 Al 3.29
Pr: 0.0000 0.2466 0.3036  8 Al 3.09-3.26, 6 Pd 3.10-3.40
Al: 0.0000 0.9819 0.8495  4 Pd 2.59-2.72
Al: 0.5000 0.0181 0.6505  4 Pd 2.59-2.72
Al: 0.5000 0.4145 0.8184  4 Pd 2.62-2.73, 1 Al 2.81
Al: 0.5000 0.5722 0.0000  4 Pd 2.67, 2 Al 2.81
Al: 0.0000 0.4278 0.5000  4 Pd 2.67, 2 Al 2.81
Al: 0.0000 0.5855 0.6816  4 Pd 2.62-2.73, 1 Al 2.81
Al: 0.0000 0.5855 0.3184  4 Pd 2.62-2.73, 1 Al 2.81
Al: 0.5000 0.9636 0.0000  4 Pd 2.60-2.68
Al: 0.0000 0.9819 0.1505  4 Pd 2.59-2.72
Al: 0.5000 0.4145 0.1816  4 Pd 2.62-2.73, 1 Al 2.81
Al: 0.0000 0.0364 0.5000  4 Pd 2.60-2.68
Al: 0.5000 0.0181 0.3495  4 Pd 2.59-2.72
Pd: 0.0000 0.5365 0.8851  5 Al 2.62-2.70, 1 Pd 2.92
Pd: 0.0000 0.8709 0.6580  5 Al 2.59-2.73
Pd: 0.0000 0.7998 0.0000  4 Al 2.62-2.68, 2 Pd 2.92
Pd: 0.5000 0.4635 0.6149  5 Al 2.62-2.70, 1 Pd 2.92
Pd: 0.5000 0.2002 0.5000  4 Al 2.62-2.68, 2 Pd 2.92
Pd: 0.0000 0.5365 0.1149  5 Al 2.62-2.70, 1 Pd 2.92
Pd: 0.5000 0.4635 0.3851  5 Al 2.62-2.70, 1 Pd 2.92
Pd: 0.0000 0.8709 0.3420  5 Al 2.59-2.73
Pd: 0.5000 0.1291 0.8420  5 Al 2.59-2.73
Pd: 0.5000 0.1291 0.1580  5 Al 2.59-2.73